CaSe3S: relaxed, PBE-GGA.

## Properties
raw formation energy: 50.5 kJ/mol of atoms
energy above the most stable polymorph in this dataset: 894 meV per atom

a b c (Å): 5.648 5.648 5.648
angles (deg): 90.00 90.00 90.00
Site moments in Bohr magnetons follow the coordinates.
Sites, in units of the cell vectors:
1 S 0.500 0.500 0.500  1.18
2 Ca 0.000 0.000 0.000  -0.01
3 Se 0.000 0.000 0.500  0.86
4 Se 0.000 0.500 0.000  0.84
5 Se 0.500 0.000 0.000  0.74